(1)
# Cr2AgCl

Crystalline Cr2AgCl at its relaxed geometry (GGA-PBE, the Alexandria database).

Cell: 5.378 5.378 5.378 Å, 145.38 115.93 74.92°
Fractional positions:
1 Cr 0.976 0.976 0.000
2 Cr 0.524 0.524 0.000
3 Ag 0.250 0.750 0.500
4 Cl 0.750 0.250 0.500

**Final energy**: -5.42 eV per atom
**Crystal system**: orthorhombic
**Raw formation energy**: 0.57 eV/atom
**V**: 19.5 A^3/atom
**Space-group type**: Immm, No. 71
**ΔE to the lowest computed polymorph**: 9.200 kcal/mol of atoms

=====

(2)
# CeTm2Tc

Crystalline CeTm2Tc at its relaxed geometry (GGA-PBE, the Alexandria database).

Cell: 5.067 5.067 5.072 Å, 60.03 60.03 60.00°
Fractional positions:
1 Tm 0.250 0.250 0.249
2 Tm 0.750 0.750 0.751
3 Tc 0.000 0.000 0.000
4 Ce 0.500 0.500 0.500

**Final energy**: -6.13 eV per atom
**Crystal system**: cubic
**DFT formation energy**: 176.8 meV per atom
**V**: 23.0 A^3/atom
**Space-group type**: Fm-3m, No. 225
**ΔE to the lowest computed polymorph**: 8.774 kcal/mol of atoms

=====

(3)
# Tl2RhPbN

Crystalline Tl2RhPbN at its relaxed geometry (GGA-PBE, the Alexandria database).

Cell: 4.686 5.093 4.686 Å, 90.00 90.00 90.00°
Fractional positions:
1 Pb 0.000 0.500 0.000
2 Tl 0.000 0.000 0.500
3 Tl 0.500 0.000 0.000
4 Rh 0.500 0.500 0.500
5 N 0.000 0.000 0.000

**Final energy**: -3.93 eV per atom
**Crystal system**: tetragonal
**Raw formation energy**: 0.90 eV/atom
**V**: 22.4 A^3/atom
**Space-group type**: P4/mmm, No. 123

=====

(4)
# Tc2AgBiOs

Crystalline Tc2AgBiOs at its relaxed geometry (GGA-PBE, the Alexandria database).

Cell: 5.093 4.978 5.093 Å, 90.00 90.00 90.00°
Fractional positions:
1 Os 0.000 0.500 0.000
2 Bi 0.000 0.000 0.000
3 Ag 0.500 0.500 0.500
4 Tc 0.000 0.000 0.500
5 Tc 0.500 0.000 0.000

**Final energy**: -5.21 eV per atom
**Crystal system**: tetragonal
**DFT formation energy**: 2523.9 meV per atom
**V**: 25.8 A^3/atom
**Space-group type**: P4/mmm, No. 123

=====

(5)
# Sr3ReW

Crystalline Sr3ReW at its relaxed geometry (GGA-PBE, the Alexandria database).

Cell: 5.723 5.723 5.723 Å, 90.00 90.00 90.00°
Fractional positions:
1 Re 0.500 0.500 0.500
2 W 0.000 0.000 0.000
3 Sr 0.000 0.500 0.000
4 Sr 0.000 0.000 0.500
5 Sr 0.500 0.000 0.000

**Final energy**: -4.02 eV per atom
**Crystal system**: cubic
**DFT formation energy**: 2072.6 meV per atom
**V**: 37.5 A^3/atom
**Space-group type**: Pm-3m, No. 221

=====

(6)
# HoPaZnSn

Crystalline HoPaZnSn at its relaxed geometry (GGA-PBE, the Alexandria database).

Cell: 5.185 5.185 5.185 Å, 60.00 60.00 60.00°
Fractional positions:
1 Zn 0.250 0.250 0.250
2 Pa 0.000 0.000 0.000
3 Ho 0.500 0.500 0.500
4 Sn 0.750 0.750 0.750

**Final energy**: -4.99 eV per atom
**Crystal system**: cubic
**DFT formation energy**: -150.7 meV per atom
**V**: 24.6 A^3/atom
**Space-group type**: F-43m, No. 216